# 1
Ta2CdBiMo: PBEsol geometry, SCAN.

The space group is P4/mmm (No. 123) and the conventional cell measures 5.118, 5.118 and 5.097 Å, with angles of 90.00, 90.00 and 90.00 degrees. The inequivalent atoms are Ta at (0.000, 0.500, 0.000), Cd at (0.000, 0.000, 0.500), Bi at (0.000, 0.000, 0.000) and Mo at (0.500, 0.500, 0.500).

The total magnetization is 2.1 μB per formula unit. The value obtained for the energy relative to the elements is 12.30 eV per formula unit. The final energy comes out at -52.95 eV/atom.

# 2
LiFeP2O: PBEsol geometry, SCAN.

The space group is P4/mmm (No. 123) and the conventional cell measures 4.492, 4.492 and 3.114 Å, with angles of 90.00, 90.00 and 90.00 degrees. The inequivalent atoms are Li at (0.000, 0.000, 0.000), Fe at (0.500, 0.500, 0.500), P at (0.000, 0.500, 0.000) and O at (0.000, 0.000, 0.500).

The total magnetization is 3.3 μB per formula unit. The uncorrected formation energy comes out at 2.92 eV per formula unit. The final energy comes out at -8.93 eV/atom.

# 3
LaNbPdN2: PBEsol geometry, SCAN.

The space group is P4/mmm (No. 123) and the conventional cell measures 4.012, 4.012 and 7.093 Å, with angles of 90.00, 90.00 and 90.00 degrees. The inequivalent atoms are La at (0.000, 0.000, 0.000), Nb at (0.000, 0.000, 0.500), Pd at (0.500, 0.500, 0.500) and N at (0.000, 0.500, 0.000).

The total magnetization is 2.6 μB per formula unit. The uncorrected formation energy comes out at 7.93 eV per formula unit. The final energy comes out at -23.93 eV/atom.

# 4
SrCaAu2: PBEsol geometry, SCAN.

The space group is F-43m (No. 216) and the conventional cell measures 7.118, 7.118 and 7.118 Å, with angles of 90.00, 90.00 and 90.00 degrees. The inequivalent atoms are Sr at (0.000, 0.000, 0.000), Ca at (0.250, 0.250, 0.750), Au at (0.000, 0.000, 0.500) and Au at (0.250, 0.250, 0.250).

The total magnetization is 0.0 μB per formula unit. The value obtained for the energy relative to the elements is -2.18 eV per formula unit. The final energy comes out at -43.11 eV/atom.

# 5
BeSbI2Br: PBEsol geometry, SCAN.

The space group is P4/mmm (No. 123) and the conventional cell measures 5.008, 5.008 and 5.275 Å, with angles of 90.00, 90.00 and 90.00 degrees. The inequivalent atoms are Be at (0.000, 0.000, 0.000), Sb at (0.000, 0.000, 0.500), I at (0.000, 0.500, 0.000) and Br at (0.500, 0.500, 0.500).

The total magnetization is 0.0 μB per formula unit. The uncorrected formation energy comes out at 1.38 eV per formula unit. The final energy comes out at -26.64 eV/atom.

# 6
MgIn2Ag: PBEsol geometry, SCAN.

The space group is P4mm (No. 99) and the conventional cell measures 3.166, 3.166 and 8.574 Å, with angles of 90.00, 90.00 and 90.00 degrees. The inequivalent atoms are Mg at (0.000, 0.000, 0.000), In at (0.000, 0.000, 0.438), In at (0.500, 0.500, 0.731) and Ag at (0.500, 0.500, 0.204).

The total magnetization is 0.0 μB per formula unit. The value obtained for the energy relative to the elements is -0.27 eV per formula unit. The final energy comes out at -25.85 eV/atom.

# 7
Li2CuAg: PBEsol geometry, SCAN.

The space group is P4/mmm (No. 123) and the conventional cell measures 3.885, 3.885 and 3.634 Å, with angles of 90.00, 90.00 and 90.00 degrees. The inequivalent atoms are Li at (0.000, 0.500, 0.000), Cu at (0.000, 0.000, 0.500) and Ag at (0.500, 0.500, 0.500).

The total magnetization is 0.0 μB per formula unit. The value obtained for the energy relative to the elements is -0.25 eV per formula unit. The final energy comes out at -12.90 eV/atom.

# 8
Ca2BeSb: PBEsol geometry, SCAN.

The space group is Amm2 (No. 38) and the conventional cell measures 4.110, 4.424 and 11.241 Å, with angles of 90.00, 90.00 and 90.00 degrees. The inequivalent atoms are Ca at (0.000, 0.000, 0.000), Ca at (0.500, 0.000, 0.289), Be at (0.500, 0.000, 0.574) and Sb at (0.000, 0.000, 0.707).

The total magnetization is 0.0 μB per formula unit. The uncorrected formation energy comes out at -1.89 eV per formula unit. The final energy comes out at -15.71 eV/atom.

# 9
NaCa3Te: PBEsol geometry, SCAN.

The space group is Pm-3m (No. 221) and the conventional cell measures 5.980, 5.980 and 5.980 Å, with angles of 90.00, 90.00 and 90.00 degrees. The inequivalent atoms are Na at (0.000, 0.000, 0.000), Ca at (0.000, 0.500, 0.500) and Te at (0.500, 0.500, 0.500).

The total magnetization is 0.0 μB per formula unit. The uncorrected formation energy comes out at -2.07 eV per formula unit. The final energy comes out at -14.50 eV/atom.

# 10
BaSc3Sb: PBEsol geometry, SCAN.

The space group is Pm-3m (No. 221) and the conventional cell measures 5.196, 5.196 and 5.196 Å, with angles of 90.00, 90.00 and 90.00 degrees. The inequivalent atoms are Ba at (0.000, 0.000, 0.000), Sc at (0.000, 0.000, 0.500) and Sb at (0.500, 0.500, 0.500).

The total magnetization is 0.0 μB per formula unit. The uncorrected formation energy comes out at 5.61 eV per formula unit. The final energy comes out at -22.78 eV/atom.

# 11
FeSiGe3: PBEsol geometry, SCAN.

The space group is Pm-3m (No. 221) and the conventional cell measures 4.471, 4.471 and 4.471 Å, with angles of 90.00, 90.00 and 90.00 degrees. The inequivalent atoms are Fe at (0.000, 0.000, 0.000), Si at (0.500, 0.500, 0.500) and Ge at (0.000, 0.000, 0.500).

The total magnetization is 0.0 μB per formula unit. The uncorrected formation energy comes out at 3.15 eV per formula unit. The final energy comes out at -16.45 eV/atom.

# 12
ZnAgOs2: PBEsol geometry, SCAN.

The space group is Pmmm (No. 47) and the conventional cell measures 2.688, 4.141 and 5.289 Å, with angles of 90.00, 90.00 and 90.00 degrees. The inequivalent atoms are Zn at (0.000, 0.000, 0.000), Ag at (0.000, 0.000, 0.500) and Os at (0.500, 0.500, 0.226).

The total magnetization is 0.0 μB per formula unit. The value obtained for the energy relative to the elements is 2.70 eV per formula unit. The final energy comes out at -46.48 eV/atom.